V3AgF | PBE+U | relaxed

Cell lengths 4.4684, 4.4684, 4.4684 Å; angles 90.00, 90.00, 90.00 degrees
Fractional positions:
Ag: 0.5000 0.5000 0.5000
V: 0.5000 0.0000 0.0000
F: 0.0000 0.0000 0.0000
V: 0.0000 0.0000 0.5000
V: 0.0000 0.5000 0.0000

The relative energy among the computed polymorphs is 0.0 meV per atom. Its space-group type is Pm-3m (221). Its mass density is 5.206 g/cm³. The total energy comes out at -5.00 eV/atom.